W2BrO: relaxed, GGA+U.

Structure (POSCAR):
```
W2BrO
1.0
4.167 -1.104 1.092
0.850 -3.983 1.785
2.177 -3.076 -2.361
O Br W
1 1 2
direct
0.000 0.000 0.000
0.500 0.500 0.500
0.250 0.250 0.250
0.750 0.750 0.750
```

DOS(E_F) = 1.26 states/eV/f.u.
polymorph energy (0 for the lowest one) = 1031 meV/atom
mass density = 12.38 g cm⁻³